Compound: Sb3Pb2Au4
Source: Alexandria via LeMat-Bulk
Functional: PBE
Structure: optimized geometry

```
data_Sb3Pb2Au4
_chemical_formula_sum 'Sb12 Pb8 Au16'
_cell_length_a 13.5416
_cell_length_b 12.9324
_cell_length_c 5.6114
_cell_angle_alpha 90.00
_cell_angle_beta 94.65
_cell_angle_gamma 90.00
_symmetry_space_group_name_H-M 'C 1 2/c 1'
_symmetry_Int_Tables_number 15
_symmetry_space_group_name_Hall '-C 2yc'
loop_
_atom_site_label
_atom_site_fract_x
_atom_site_fract_y
_atom_site_fract_z
Sb1 0.0000 0.1859 0.2500
Sb2 0.1280 0.4271 0.5599
Pb1 0.1835 0.1507 0.8899
Au1 0.0858 0.3618 0.0463
Au2 0.1676 0.0812 0.3962
```

Values from the calculation:
Crystal system   monoclinic

***

Compound: SbPb4Au3
Source: Alexandria via LeMat-Bulk
Functional: PBE
Structure: optimized geometry

```
data_SbPb4Au3
_chemical_formula_sum 'Sb1 Pb4 Au3'
_cell_length_a 4.2300
_cell_length_b 4.2656
_cell_length_c 11.8411
_cell_angle_alpha 90.00
_cell_angle_beta 90.00
_cell_angle_gamma 90.00
_symmetry_space_group_name_H-M 'P m m 2'
_symmetry_Int_Tables_number 25
_symmetry_space_group_name_Hall 'P 2 -2'
loop_
_atom_site_label
_atom_site_fract_x
_atom_site_fract_y
_atom_site_fract_z
Sb1 0.0000 0.0000 0.0000
Pb1 0.0000 0.0000 0.7003
Pb2 0.0000 0.5000 0.2303
Pb3 0.5000 0.0000 0.4240
Pb4 0.5000 0.5000 0.9030
Au1 0.0000 0.5000 0.4842
Au2 0.5000 0.0000 0.1680
Au3 0.5000 0.5000 0.6535
```

Values from the calculation:
Crystal system   orthorhombic

***

Compound: SbPb4Au2
Source: Alexandria via LeMat-Bulk
Functional: PBE
Structure: optimized geometry

```
data_SbPb4Au2
_chemical_formula_sum 'Sb4 Pb16 Au8'
_cell_length_a 12.2064
_cell_length_b 8.5256
_cell_length_c 8.3588
_cell_angle_alpha 90.00
_cell_angle_beta 111.08
_cell_angle_gamma 90.00
_symmetry_space_group_name_H-M 'C 1 m 1'
_symmetry_Int_Tables_number 8
_symmetry_space_group_name_Hall 'C -2y'
loop_
_atom_site_label
_atom_site_fract_x
_atom_site_fract_y
_atom_site_fract_z
Sb1 0.0000 0.0000 0.0000
Sb2 0.0142 0.0000 0.5059
Pb1 0.2137 0.5000 0.8655
Pb2 0.2215 0.5000 0.3565
Pb3 0.2309 0.0000 0.3742
Pb4 0.2320 0.0000 0.8622
Pb5 0.4343 0.2308 0.7081
Pb6 0.4346 0.2280 0.2274
Au1 0.0016 0.5000 0.0005
Au2 0.0342 0.5000 0.5186
Au3 0.1736 0.2445 0.0876
```

Values from the calculation:
Crystal system   monoclinic

***

Compound: Sb3Pb3Au8
Source: Alexandria via LeMat-Bulk
Functional: PBE
Structure: optimized geometry

```
data_Sb3Pb3Au8
_chemical_formula_sum 'Sb6 Pb6 Au16'
_cell_length_a 17.2915
_cell_length_b 4.6714
_cell_length_c 10.2683
_cell_angle_alpha 90.00
_cell_angle_beta 125.65
_cell_angle_gamma 90.00
_symmetry_space_group_name_H-M 'C 1 2/m 1'
_symmetry_Int_Tables_number 12
_symmetry_space_group_name_Hall '-C 2y'
loop_
_atom_site_label
_atom_site_fract_x
_atom_site_fract_y
_atom_site_fract_z
Sb1 0.0000 0.0000 0.0000
Sb2 0.1781 0.5000 0.5286
Pb1 0.0000 0.0000 0.5000
Pb2 0.2094 0.5000 0.1213
Au1 0.0101 0.5000 0.1867
Au2 0.1186 0.0000 0.8880
Au3 0.1251 0.0000 0.3512
Au4 0.1316 0.5000 0.7399
```

Values from the calculation:
Crystal system   monoclinic

***

Compound: SbPb6Au3
Source: Alexandria via LeMat-Bulk
Functional: PBE
Structure: optimized geometry

```
data_SbPb6Au3
_chemical_formula_sum 'Sb4 Pb24 Au12'
_cell_length_a 10.9254
_cell_length_b 14.2161
_cell_length_c 7.5846
_cell_angle_alpha 90.00
_cell_angle_beta 90.00
_cell_angle_gamma 90.00
_symmetry_space_group_name_H-M 'C m c 21'
_symmetry_Int_Tables_number 36
_symmetry_space_group_name_Hall 'C 2c -2'
loop_
_atom_site_label
_atom_site_fract_x
_atom_site_fract_y
_atom_site_fract_z
Sb1 0.0000 0.1877 0.0000
Pb1 0.0000 0.9999 0.2394
Pb2 0.0000 0.2463 0.6102
Pb3 0.1710 0.4620 0.6699
Pb4 0.1943 0.2776 0.2401
Au1 0.0000 0.4160 0.3593
Au2 0.1792 0.1003 0.4766
```

Values from the calculation:
Crystal system   orthorhombic

***

Compound: SbPb2Au2
Source: Alexandria via LeMat-Bulk
Functional: PBE
Structure: optimized geometry

```
data_SbPb2Au2
_chemical_formula_sum 'Sb2 Pb4 Au4'
_cell_length_a 4.4821
_cell_length_b 6.3724
_cell_length_c 9.1348
_cell_angle_alpha 90.00
_cell_angle_beta 90.00
_cell_angle_gamma 90.00
_symmetry_space_group_name_H-M 'I m m m'
_symmetry_Int_Tables_number 71
_symmetry_space_group_name_Hall '-I 2 2'
loop_
_atom_site_label
_atom_site_fract_x
_atom_site_fract_y
_atom_site_fract_z
Sb1 0.0000 0.0000 0.0000
Pb1 0.0000 0.5000 0.2037
Au1 0.0000 0.2173 0.5000
```

Values from the calculation:
Crystal system   orthorhombic

***

no.,formation energy from raw total energies (kJ per mole of atoms),magnetic moment (μB/f.u.),final energy (eV/atom)
1,-1.7,0.00,-3.672
2,-6.1,0.00,-3.662
3,-2.9,0.00,-3.674
4,-4.9,0.00,-3.602
5,-2.2,0.00,-3.643
6,-4.7,0.00,-3.667